Entry 1:
Entry from Alexandria: SrDyMgCd after structural relaxation (PBE).

POSCAR file:
```
SrDyMgCd
1.0
0.000 3.922 3.922
3.922 0.000 3.922
3.922 3.922 0.000
Sr Dy Mg Cd
1 1 1 1
Cartesian
0.000 0.000 0.000
3.922 3.922 3.922
1.961 1.961 1.961
5.883 5.883 5.883
```

energy of formation = -0.129 eV/atom
symmetry = F-43m, No. 216
ρ = 5.324 g/cm³



Entry 2:
Entry from Alexandria: Sr2DyMg3Cd12 after structural relaxation (PBE).

POSCAR file:
```
Sr2DyMg3Cd12
1.0
5.085 2.936 6.363
-5.085 2.936 6.363
0.000 -5.871 6.363
Sr Dy Mg Cd
2 1 3 12
Cartesian
0.000 0.000 1.897
0.000 0.000 17.193
0.000 0.000 9.545
-2.542 -1.468 6.363
-2.542 1.468 12.727
0.000 2.936 6.363
-2.662 -1.537 9.161
0.000 -2.827 6.820
-2.448 1.413 6.820
-2.448 -1.413 12.270
0.000 -3.074 9.929
-2.662 1.537 9.929
2.662 -1.537 9.161
0.000 3.074 9.161
2.448 1.413 6.820
2.448 -1.413 12.270
0.000 2.827 12.270
2.662 1.537 9.929
```

energy of formation = 0.132 eV/atom
symmetry = R-3m, No. 166
ρ = 5.127 g/cm³



Entry 3:
Entry from Alexandria: DyTmMgCd after structural relaxation (PBE).

POSCAR file:
```
DyTmMgCd
1.0
0.000 3.739 3.739
3.739 0.000 3.739
3.739 3.739 0.000
Dy Tm Mg Cd
1 1 1 1
Cartesian
0.000 0.000 0.000
3.739 3.739 3.739
5.608 5.608 5.608
1.869 1.869 1.869
```

energy of formation = -0.193 eV/atom
symmetry = F-43m, No. 216
ρ = 7.438 g/cm³



Entry 4:
Entry from Alexandria: DyMgZrCd after structural relaxation (PBE).

POSCAR file:
```
DyMgZrCd
1.0
0.000 3.634 3.634
3.634 0.000 3.634
3.634 3.634 0.000
Dy Mg Zr Cd
1 1 1 1
Cartesian
0.000 0.000 0.000
1.817 1.817 1.817
3.634 3.634 3.634
5.451 5.451 5.451
```

energy of formation = -0.046 eV/atom
symmetry = F-43m, No. 216
ρ = 6.753 g/cm³



Entry 5:
Entry from Alexandria: Dy2MnCd after structural relaxation (PBE).

POSCAR file:
```
Dy2MnCd
1.0
3.517 0.000 0.000
0.000 3.517 0.000
0.000 0.000 7.780
Dy Mn Cd
2 1 1
Cartesian
0.000 0.000 1.748
0.000 0.000 6.031
1.758 1.758 0.000
1.758 1.758 3.890
```

energy of formation = -0.077 eV/atom
symmetry = P4/mmm, No. 123
ρ = 8.498 g/cm³
polymorph energy (0 for the lowest one) = 0.000 eV per atom



Entry 6:
Entry from Alexandria: Dy2MnCd after structural relaxation (PBE).

POSCAR file:
```
Dy2MnCd
1.0
0.000 3.646 3.646
3.646 0.000 3.646
3.646 3.646 0.000
Dy Mn Cd
2 1 1
Cartesian
1.823 1.823 1.823
5.469 5.469 5.469
0.000 0.000 0.000
3.646 3.646 3.646
```

energy of formation = -0.014 eV/atom
symmetry = Fm-3m, No. 225
ρ = 8.433 g/cm³
polymorph energy (0 for the lowest one) = 0.063 eV per atom



Entry 7:
Entry from Alexandria: Dy4MnCd after structural relaxation (PBE).

POSCAR file:
```
Dy4MnCd
1.0
4.355 -6.368 0.000
4.355 6.368 0.000
-1.782 0.000 5.771
Dy Mn Cd
8 2 2
Cartesian
1.745 4.248 5.510
1.367 1.043 3.534
4.292 4.248 3.147
2.258 -1.043 0.649
4.670 1.043 5.122
2.636 -4.248 2.624
5.561 -1.043 2.237
5.184 -4.248 0.261
3.019 6.354 4.328
3.910 -6.354 1.443
3.910 1.592 1.443
3.019 -1.592 4.328
```

energy of formation = -0.043 eV/atom
symmetry = C2/c, No. 15
ρ = 8.479 g/cm³



Entry 8:
Entry from Alexandria: DyScMnCd after structural relaxation (PBE).

POSCAR file:
```
DyScMnCd
1.0
0.000 3.547 3.547
3.547 0.000 3.547
3.547 3.547 0.000
Dy Sc Mn Cd
1 1 1 1
Cartesian
0.000 0.000 0.000
3.547 3.547 3.547
5.320 5.320 5.320
1.773 1.773 1.773
```

energy of formation = -0.008 eV/atom
symmetry = F-43m, No. 216
ρ = 6.973 g/cm³



Entry 9:
Entry from Alexandria: SmDyMnCd after structural relaxation (PBE).

POSCAR file:
```
SmDyMnCd
1.0
0.000 3.686 3.686
3.686 0.000 3.686
3.686 3.686 0.000
Sm Dy Mn Cd
1 1 1 1
Cartesian
0.000 0.000 0.000
3.686 3.686 3.686
5.529 5.529 5.529
1.843 1.843 1.843
```

energy of formation = -0.004 eV/atom
symmetry = F-43m, No. 216
ρ = 7.959 g/cm³



Entry 10:
Entry from Alexandria: TbDyMnCd after structural relaxation (PBE).

POSCAR file:
```
TbDyMnCd
1.0
0.000 3.655 3.655
3.655 0.000 3.655
3.655 3.655 0.000
Tb Dy Mn Cd
1 1 1 1
Cartesian
0.000 0.000 0.000
3.655 3.655 3.655
1.827 1.827 1.827
5.482 5.482 5.482
```

energy of formation = -0.014 eV/atom
symmetry = F-43m, No. 216
ρ = 8.311 g/cm³



Entry 11:
Entry from Alexandria: DyYMnCd after structural relaxation (PBE).

POSCAR file:
```
DyYMnCd
1.0
0.000 3.657 3.657
3.657 0.000 3.657
3.657 3.657 0.000
Dy Y Mn Cd
1 1 1 1
Cartesian
0.000 0.000 0.000
3.657 3.657 3.657
1.828 1.828 1.828
5.485 5.485 5.485
```

energy of formation = -0.019 eV/atom
symmetry = F-43m, No. 216
ρ = 7.109 g/cm³